Here is an optimized crystal structure of AcSmGd2 from Alexandria via LeMat-Bulk. Energies are from PBE-GGA.

abc: 3.6251 3.6251 38.3706
angles: 90.00 90.00 120.00
With the nearest neighbours (Å) after each atom.
Space group R-3m (No. 166, hexagonal axes)
One atom of each set of equivalent atoms:
Ac (0.0000, 0.0000, 0.0000) [3 per cell]  2 Gd 3.53, 6 Ac 3.63
Sm (0.0000, 0.0000, 0.5000) [3 per cell]  6 Gd 3.54, 6 Sm 3.63
Gd (0.0000, 0.0000, 0.0921) [6 per cell]  1 Ac 3.53, 3 Sm 3.54, 6 Gd 3.63

Properties
Distance to the lowest polymorph of the same formula   0.131 eV/atom
N(E_F)   19.3 states/eV/cell
Formation enthalpy at 0 K   16 kJ per mole of atoms
V   36.39 Å³ per atom
Size of the total moment   3.77 μB/atom

Here is an optimized crystal structure of AcSmGd2 from Alexandria via LeMat-Bulk. Energies are from PBE-GGA.

abc: 5.2302 5.2302 5.2125
angles: 90.00 90.00 90.00
With the nearest neighbours (Å) after each atom.
Space group P4/mmm (No. 123)
One atom of each set of equivalent atoms:
Ac (0.0000, 0.0000, 0.0000) [1 per cell]  8 Gd 3.69, 4 Sm 3.70
Sm (0.5000, 0.5000, 0.0000) [1 per cell]  8 Gd 3.69, 4 Ac 3.70
Gd (0.0000, 0.5000, 0.5000) [2 per cell]  4 Ac 3.69, 4 Sm 3.69, 4 Gd 3.70

Properties
Distance to the lowest polymorph of the same formula   0.000 eV/atom
N(E_F)   6.7 states/eV/cell
Formation enthalpy at 0 K   4 kJ per mole of atoms
V   35.65 Å³ per atom
Size of the total moment   3.71 μB/atom

Here is an optimized crystal structure of AcSmGdSn from Alexandria via LeMat-Bulk. Energies are from PBE-GGA.

abc: 8.0201 8.0201 8.0201
angles: 90.00 90.00 90.00
With the nearest neighbours (Å) after each atom.
Space group F-43m (No. 216)
One atom of each set of equivalent atoms:
Ac (0.0000, 0.0000, 0.0000) [4 per cell]  4 Sn 3.47, 4 Gd 3.47
Sm (0.0000, 0.0000, 0.5000) [4 per cell]  4 Gd 3.47, 4 Sn 3.47
Gd (0.2500, 0.2500, 0.7500) [4 per cell]  4 Ac 3.47, 4 Sm 3.47
Sn (0.2500, 0.2500, 0.2500) [4 per cell]  4 Ac 3.47, 4 Sm 3.47

Properties
N(E_F)   19.2 states/eV/cell
Formation enthalpy at 0 K   -21 kJ per mole of atoms
V   32.24 Å³ per atom
Size of the total moment   1.97 μB/atom

Here is an optimized crystal structure of AcTbSmGd from Alexandria via LeMat-Bulk. Energies are from PBE-GGA.

abc: 8.3044 8.3044 8.3044
angles: 90.00 90.00 90.00
With the nearest neighbours (Å) after each atom.
Space group F-43m (No. 216)
One atom of each set of equivalent atoms:
Ac (0.0000, 0.0000, 0.0000) [4 per cell]  4 Tb 3.60, 4 Gd 3.60
Tb (0.2500, 0.2500, 0.7500) [4 per cell]  4 Ac 3.60, 4 Sm 3.60
Sm (0.0000, 0.0000, 0.5000) [4 per cell]  4 Gd 3.60, 4 Tb 3.60
Gd (0.2500, 0.2500, 0.2500) [4 per cell]  4 Ac 3.60, 4 Sm 3.60

Properties
N(E_F)   33.2 states/eV/cell
Formation enthalpy at 0 K   12 kJ per mole of atoms
V   35.79 Å³ per atom
Size of the total moment   2.01 μB/atom

What is the formula in the second record? AcSmGd2

What did the second record say?
Here is an optimized crystal structure of AcSmGd2 from Alexandria via LeMat-Bulk. Energies are from PBE-GGA.

abc: 5.2302 5.2302 5.2125
angles: 90.00 90.00 90.00
With the nearest neighbours (Å) after each atom.
Space group P4/mmm (No. 123)
One atom of each set of equivalent atoms:
Ac (0.0000, 0.0000, 0.0000) [1 per cell]  8 Gd 3.69, 4 Sm 3.70
Sm (0.5000, 0.5000, 0.0000) [1 per cell]  8 Gd 3.69, 4 Ac 3.70
Gd (0.0000, 0.5000, 0.5000) [2 per cell]  4 Ac 3.69, 4 Sm 3.69, 4 Gd 3.70

Properties
Distance to the lowest polymorph of the same formula   0.000 eV/atom
N(E_F)   6.7 states/eV/cell
Formation enthalpy at 0 K   4 kJ per mole of atoms
V   35.65 Å³ per atom
Size of the total moment   3.71 μB/atom

Among the records above, which one has the highest V? number 1

The lowest N(E_F) belongs to which entry? number 2